H2Pt2Au: optimized geometry, PBE. Values from VASP.

Quantum ESPRESSO input file:
```
&SYSTEM
  ibrav = 0, nat = 10, ntyp = 3
/
ATOMIC_SPECIES
H 1.01 H.upf
Pt 195.08 Pt.upf
Au 196.97 Au.upf
CELL_PARAMETERS angstrom
6.3791 0.0000 0.0000
0.0000 6.3791 0.0000
0.0000 0.0000 3.0111
ATOMIC_POSITIONS crystal
H 0.2467 0.2533 0.0000
H 0.2533 0.7533 0.0000
H 0.7467 0.2467 0.0000
H 0.7533 0.7467 0.0000
Pt 0.1520 0.3480 0.5000
Pt 0.3480 0.8480 0.5000
Pt 0.6520 0.1520 0.5000
Pt 0.8480 0.6520 0.5000
Au 0.0000 0.0000 0.0000
Au 0.5000 0.5000 0.0000
```

Summary:
* ΔE to the lowest computed polymorph: 149 meV per atom
* energy: -4.169 eV/atom
* mass density: 15.97 g cm⁻³

Dy4Mg9Pb11: optimized geometry, PBE. Values from VASP.

Quantum ESPRESSO input file:
```
&SYSTEM
  ibrav = 0, nat = 24, ntyp = 3
/
ATOMIC_SPECIES
Dy 162.50 Dy.upf
Mg 24.30 Mg.upf
Pb 207.20 Pb.upf
CELL_PARAMETERS angstrom
7.9332 -11.5378 0.0000
7.9332 11.5378 0.0000
0.0000 0.0000 3.5357
ATOMIC_POSITIONS crystal
Dy 0.0788 0.2505 0.0000
Dy 0.2505 0.0788 0.0000
Dy 0.7495 0.9212 0.0000
Dy 0.9212 0.7495 0.0000
Mg 0.0000 0.0000 0.0000
Mg 0.1188 0.6647 0.0000
Mg 0.3009 0.4830 0.0000
Mg 0.3353 0.8812 0.0000
Mg 0.4830 0.3009 0.0000
Mg 0.5170 0.6991 0.0000
Mg 0.6647 0.1188 0.0000
Mg 0.6991 0.5170 0.0000
Mg 0.8812 0.3353 0.0000
Pb 0.0956 0.4573 0.5000
Pb 0.1253 0.8747 0.5000
Pb 0.2855 0.2855 0.5000
Pb 0.3181 0.6819 0.5000
Pb 0.4573 0.0956 0.5000
Pb 0.5000 0.5000 0.5000
Pb 0.5427 0.9044 0.5000
Pb 0.6819 0.3181 0.5000
Pb 0.7145 0.7145 0.5000
Pb 0.8747 0.1253 0.5000
Pb 0.9044 0.5427 0.5000
```

Summary:
* energy of formation: -124 meV/atom
* energy: -3.188 eV/atom
* mass density: 8.08 g cm⁻³

Cs2SrTeS4: optimized geometry, PBE. Values from VASP.

Quantum ESPRESSO input file:
```
&SYSTEM
  ibrav = 0, nat = 16, ntyp = 4
/
ATOMIC_SPECIES
Cs 132.91 Cs.upf
Sr 87.62 Sr.upf
Te 127.60 Te.upf
S 32.06 S.upf
CELL_PARAMETERS angstrom
0.0000 7.6758 12.9863
3.5452 0.0000 12.9863
3.5452 7.6758 0.0000
ATOMIC_POSITIONS crystal
Cs 0.0617 0.0617 0.6883
Cs 0.3117 0.3117 0.9383
Cs 0.6883 0.6883 0.0617
Cs 0.9383 0.9383 0.3117
Sr 0.1250 0.1250 0.1250
Sr 0.8750 0.8750 0.8750
Te 0.3750 0.3750 0.3750
Te 0.6250 0.6250 0.6250
S 0.0001 0.3468 0.4576
S 0.9999 0.6532 0.5424
S 0.3045 0.5424 0.6532
S 0.3468 0.0001 0.6955
S 0.4576 0.6955 0.0001
S 0.5424 0.3045 0.9999
S 0.6532 0.9999 0.3045
S 0.6955 0.4576 0.3468
```

Summary:
* ΔE_f (raw): -629 kJ/mol of formula units
* energy: -3.695 eV/atom
* mass density: 2.86 g cm⁻³

HfHgBiOs2: optimized geometry, PBE. Values from VASP.

Quantum ESPRESSO input file:
```
&SYSTEM
  ibrav = 0, nat = 5, ntyp = 4
/
ATOMIC_SPECIES
Hf 178.49 Hf.upf
Hg 200.59 Hg.upf
Bi 208.98 Bi.upf
Os 190.23 Os.upf
CELL_PARAMETERS angstrom
4.9534 0.0000 0.0000
0.0000 4.9534 0.0000
0.0000 0.0000 5.1819
ATOMIC_POSITIONS crystal
Hf 0.0000 0.0000 0.0000
Hg 0.5000 0.5000 0.5000
Bi 0.5000 0.5000 0.0000
Os 0.0000 0.5000 0.5000
Os 0.5000 0.0000 0.5000
```

Summary:
* energy of formation: 2249 meV/atom
* energy: -5.070 eV/atom
* mass density: 12.65 g cm⁻³

Co4Ni2Pt5: optimized geometry, PBE. Values from VASP.

Quantum ESPRESSO input file:
```
&SYSTEM
  ibrav = 0, nat = 11, ntyp = 3
/
ATOMIC_SPECIES
Co 58.93 Co.upf
Ni 58.69 Ni.upf
Pt 195.08 Pt.upf
CELL_PARAMETERS angstrom
4.4772 -2.6452 0.0000
4.4772 2.6452 0.0000
-0.4939 0.0000 6.5668
ATOMIC_POSITIONS crystal
Co 0.0936 0.0936 0.1455
Co 0.2888 0.2888 0.5154
Co 0.7112 0.7112 0.4846
Co 0.9064 0.9064 0.8545
Ni 0.4089 0.4089 0.8502
Ni 0.5911 0.5911 0.1498
Pt 0.0000 0.0000 0.5000
Pt 0.0929 0.5931 0.1899
Pt 0.4069 0.9071 0.8101
Pt 0.5931 0.0929 0.1899
Pt 0.9071 0.4069 0.8101
```

Summary:
* energy of formation: 99 meV/atom
* ΔE to the lowest computed polymorph: 0 meV per atom
* energy: -6.282 eV/atom
* mass density: 14.18 g cm⁻³

DyTmSc: optimized geometry, PBE. Values from VASP.

Quantum ESPRESSO input file:
```
&SYSTEM
  ibrav = 0, nat = 6, ntyp = 3
/
ATOMIC_SPECIES
Dy 162.50 Dy.upf
Tm 168.93 Tm.upf
Sc 44.96 Sc.upf
CELL_PARAMETERS angstrom
5.2484 -3.0247 0.0000
5.2484 3.0247 0.0000
-3.5105 0.0000 5.4424
ATOMIC_POSITIONS crystal
Dy 0.0860 0.9140 0.5000
Dy 0.9140 0.0860 0.0000
Tm 0.5785 0.7500 0.0075
Tm 0.7500 0.5785 0.5075
Sc 0.2534 0.4116 0.0038
Sc 0.4116 0.2534 0.5038
```

Summary:
* energy of formation: 18 meV/atom
* ΔE to the lowest computed polymorph: 0 meV per atom
* energy: -5.117 eV/atom
* mass density: 7.23 g cm⁻³

TbSm2In3Hg6: optimized geometry, PBE. Values from VASP.

Quantum ESPRESSO input file:
```
&SYSTEM
  ibrav = 0, nat = 12, ntyp = 4
/
ATOMIC_SPECIES
Tb 158.93 Tb.upf
Sm 150.36 Sm.upf
In 114.82 In.upf
Hg 200.59 Hg.upf
CELL_PARAMETERS angstrom
4.2661 0.0000 0.0000
0.0000 4.2661 0.0000
0.0000 0.0000 20.3584
ATOMIC_POSITIONS crystal
Tb 0.0000 0.0000 0.0000
Sm 0.0000 0.0000 0.2828
Sm 0.0000 0.0000 0.7172
In 0.5000 0.5000 0.2205
In 0.5000 0.5000 0.5000
In 0.5000 0.5000 0.7795
Hg 0.0000 0.5000 0.1126
Hg 0.0000 0.5000 0.8874
Hg 0.5000 0.0000 0.1126
Hg 0.5000 0.0000 0.8874
Hg 0.5000 0.5000 0.3631
Hg 0.5000 0.5000 0.6369
```

Summary:
* energy of formation: -78 meV/atom
* energy: -2.086 eV/atom
* mass density: 9.00 g cm⁻³

NdAl3Pt3: optimized geometry, PBE. Values from VASP.

Quantum ESPRESSO input file:
```
&SYSTEM
  ibrav = 0, nat = 14, ntyp = 3
/
ATOMIC_SPECIES
Nd 144.24 Nd.upf
Al 26.98 Al.upf
Pt 195.08 Pt.upf
CELL_PARAMETERS angstrom
3.3965 1.9610 6.6288
-3.3965 1.9610 6.6288
0.0000 -3.9219 6.6288
ATOMIC_POSITIONS crystal
Nd 0.1591 0.1591 0.1591
Nd 0.8409 0.8409 0.8409
Al 0.0494 0.5923 0.2345
Al 0.2345 0.0494 0.5923
Al 0.4077 0.7655 0.9506
Al 0.5923 0.2345 0.0494
Al 0.7655 0.9506 0.4077
Al 0.9506 0.4077 0.7655
Pt 0.1826 0.6660 0.4056
Pt 0.3340 0.5944 0.8174
Pt 0.4056 0.1826 0.6660
Pt 0.5944 0.8174 0.3340
Pt 0.6660 0.4056 0.1826
Pt 0.8174 0.3340 0.5944
```

Summary:
* energy of formation: -934 meV/atom
* ΔE to the lowest computed polymorph: 0 meV per atom
* energy: -5.808 eV/atom
* mass density: 10.16 g cm⁻³

BaRhPbBr2: optimized geometry, PBE. Values from VASP.

Quantum ESPRESSO input file:
```
&SYSTEM
  ibrav = 0, nat = 5, ntyp = 4
/
ATOMIC_SPECIES
Ba 137.33 Ba.upf
Rh 102.91 Rh.upf
Pb 207.20 Pb.upf
Br 79.90 Br.upf
CELL_PARAMETERS angstrom
5.3749 0.0000 0.0000
0.0000 5.3749 0.0000
0.0000 0.0000 5.2612
ATOMIC_POSITIONS crystal
Ba 0.0000 0.0000 0.0000
Rh 0.5000 0.5000 0.5000
Pb 0.5000 0.5000 0.0000
Br 0.0000 0.5000 0.5000
Br 0.5000 0.0000 0.5000
```

Summary:
* ΔE_f (raw): -279 kJ/mol of formula units
* energy: -3.844 eV/atom
* mass density: 6.63 g cm⁻³

BaRhCl4: optimized geometry, PBE. Values from VASP.

Quantum ESPRESSO input file:
```
&SYSTEM
  ibrav = 0, nat = 6, ntyp = 3
/
ATOMIC_SPECIES
Ba 137.33 Ba.upf
Rh 102.91 Rh.upf
Cl 35.45 Cl.upf
CELL_PARAMETERS angstrom
0.0000 4.2812 4.2812
4.2812 0.0000 4.2812
4.2812 4.2812 0.0000
ATOMIC_POSITIONS crystal
Ba 0.0000 0.0000 0.0000
Rh 0.2500 0.2500 0.2500
Cl 0.1259 0.6247 0.6247
Cl 0.6247 0.1259 0.6247
Cl 0.6247 0.6247 0.1259
Cl 0.6247 0.6247 0.6247
```

Summary:
* ΔE_f (raw): -87 kJ/mol of formula units
* energy: -2.927 eV/atom
* mass density: 4.04 g cm⁻³

KGa12Au6: optimized geometry, PBE. Values from VASP.

Quantum ESPRESSO input file:
```
&SYSTEM
  ibrav = 0, nat = 19, ntyp = 3
/
ATOMIC_SPECIES
K 39.10 K.upf
Ga 69.72 Ga.upf
Au 196.97 Au.upf
CELL_PARAMETERS angstrom
6.0392 3.4867 3.0482
-6.0392 3.4867 3.0482
0.0000 -6.9735 3.0482
ATOMIC_POSITIONS crystal
K 0.0000 0.0000 0.0000
Ga 0.1120 0.5000 0.8880
Ga 0.1120 0.8880 0.5000
Ga 0.1587 0.4037 0.4037
Ga 0.4037 0.1587 0.4037
Ga 0.4037 0.4037 0.1587
Ga 0.5000 0.1120 0.8880
Ga 0.5000 0.8880 0.1120
Ga 0.5963 0.5963 0.8413
Ga 0.5963 0.8413 0.5963
Ga 0.8413 0.5963 0.5963
Ga 0.8880 0.1120 0.5000
Ga 0.8880 0.5000 0.1120
Au 0.2746 0.2746 0.7252
Au 0.2746 0.7252 0.2746
Au 0.2748 0.7254 0.7254
Au 0.7252 0.2746 0.2746
Au 0.7254 0.2748 0.7254
Au 0.7254 0.7254 0.2748
```

Summary:
* energy of formation: -168 meV/atom
* energy: -3.173 eV/atom
* mass density: 8.87 g cm⁻³

MnGaRePt2: optimized geometry, PBE. Values from VASP.

Quantum ESPRESSO input file:
```
&SYSTEM
  ibrav = 0, nat = 5, ntyp = 4
/
ATOMIC_SPECIES
Mn 54.94 Mn.upf
Ga 69.72 Ga.upf
Re 186.21 Re.upf
Pt 195.08 Pt.upf
CELL_PARAMETERS angstrom
4.8121 0.0000 0.0000
0.0000 4.8121 0.0000
0.0000 0.0000 4.7485
ATOMIC_POSITIONS crystal
Mn 0.0000 0.0000 0.0000
Ga 0.5000 0.5000 0.0000
Re 0.5000 0.5000 0.5000
Pt 0.0000 0.5000 0.5000
Pt 0.5000 0.0000 0.5000
```

Summary:
* energy of formation: 1004 meV/atom
* energy: -6.341 eV/atom
* mass density: 10.59 g cm⁻³

What did the sixth record say?
DyTmSc: optimized geometry, PBE. Values from VASP.

Quantum ESPRESSO input file:
```
&SYSTEM
  ibrav = 0, nat = 6, ntyp = 3
/
ATOMIC_SPECIES
Dy 162.50 Dy.upf
Tm 168.93 Tm.upf
Sc 44.96 Sc.upf
CELL_PARAMETERS angstrom
5.2484 -3.0247 0.0000
5.2484 3.0247 0.0000
-3.5105 0.0000 5.4424
ATOMIC_POSITIONS crystal
Dy 0.0860 0.9140 0.5000
Dy 0.9140 0.0860 0.0000
Tm 0.5785 0.7500 0.0075
Tm 0.7500 0.5785 0.5075
Sc 0.2534 0.4116 0.0038
Sc 0.4116 0.2534 0.5038
```

Summary:
* energy of formation: 18 meV/atom
* ΔE to the lowest computed polymorph: 0 meV per atom
* energy: -5.117 eV/atom
* mass density: 7.23 g cm⁻³